1.
EuGdPb2, relaxed, DFT PBE; energy relative to the elements = -1.845 eV/f.u.; E_tot = -33.62 eV per cell; space-group type = No. 225; density of states at the Fermi level = 0.853 states/eV/atom; size of the total moment = 0.0 μB/f.u.; E above lowest polymorph = 0.021 eV/atom
1.0
5.577 0.000 0.000
2.788 4.830 0.000
2.788 1.610 4.556
Pb Eu Gd
2 1 1
Direct
0.750 0.750 0.749
0.250 0.250 0.251
0.000 0.000 0.000
0.500 0.500 0.500

---

2.
NaCdGa2Rh, relaxed, DFT PBE; energy relative to the elements = -1.187 eV/f.u.; E_tot = -16.83 eV per cell; space-group type = No. 123; density of states at the Fermi level = 0.431 states/eV/atom; size of the total moment = 0.0 μB/f.u.
1.0
-2.225 2.322 3.538
2.470 -2.534 3.216
3.781 3.657 -0.022
Na Rh Ga Cd
1 1 2 1
Direct
0.500 0.500 0.500
0.000 0.000 0.000
0.000 0.500 0.000
0.500 0.000 0.000
0.000 0.000 0.500

---

3.
Tm2Cu9Pd, relaxed, DFT PBE; energy relative to the elements = -1.569 eV/f.u.; E_tot = -52.57 eV per cell; space-group type = No. 166; density of states at the Fermi level = 0.594 states/eV/atom; size of the total moment = 0.0 μB/f.u.
1.0
-1.037 4.402 2.297
-2.674 3.560 -2.429
-8.004 -0.452 2.854
Tm Cu Pd
2 9 1
Direct
0.867 0.867 0.399
0.133 0.133 0.601
0.666 0.666 0.001
0.334 0.334 0.999
0.500 0.500 0.500
0.416 0.416 0.246
0.922 0.416 0.246
0.416 0.922 0.246
0.584 0.584 0.754
0.584 0.078 0.754
0.078 0.584 0.754
0.000 0.000 0.000

---

4.
CsK2SnBi2, relaxed, DFT PBE; energy relative to the elements = -1.765 eV/f.u.; E_tot = -33.16 eV per cell; space-group type = No. 72; density of states at the Fermi level = 0.593 states/eV/atom; size of the total moment = 0.0 μB/f.u.
1.0
-4.846 -3.749 4.855
7.506 -2.326 5.695
-2.338 9.456 -1.325
Cs K Sn Bi
2 4 2 4
Direct
0.250 0.000 0.000
0.750 0.000 0.000
0.679 0.844 0.357
0.179 0.513 0.357
0.821 0.487 0.643
0.321 0.156 0.643
0.750 0.500 0.000
0.250 0.500 0.000
0.395 0.582 0.791
0.605 0.418 0.209
0.105 0.792 0.209
0.895 0.208 0.791

---

5.
ZrPdIN2, relaxed, DFT PBE; E_tot = -29.40 eV per cell; space-group type = No. 123; density of states at the Fermi level = 0.849 states/eV/atom; size of the total moment = 0.0 μB/f.u.; E_form (uncorrected) = 0.509 eV/atom; E above lowest polymorph = 0.000 eV/atom
1.0
4.104 0.000 0.000
0.000 4.104 0.000
0.000 0.000 6.408
I Zr Pd N
1 1 1 2
Direct
0.000 0.000 0.500
0.000 0.000 0.000
0.500 0.500 0.500
0.000 0.500 0.000
0.500 0.000 0.000

---

6.
CaTiZn2S, relaxed, DFT PBE; E_tot = -14.69 eV per cell; space-group type = No. 123; density of states at the Fermi level = 1.768 states/eV/atom; size of the total moment = 0.6 μB/f.u.; E_form (uncorrected) = 0.376 eV/atom
1.0
-2.792 -2.900 -2.604
3.352 0.154 -3.766
2.245 -3.815 1.842
S Zn Ca Ti
1 2 1 1
Direct
0.000 0.000 0.000
0.000 0.000 0.500
0.500 0.000 0.000
0.000 0.500 0.000
0.500 0.500 0.500

---

7.
Ba2Y, relaxed, DFT PBE; energy relative to the elements = 0.615 eV/f.u.; E_tot = -19.39 eV per cell; space-group type = No. 63; density of states at the Fermi level = 1.613 states/eV/atom; size of the total moment = 0.2 μB/f.u.; E above lowest polymorph = 0.031 eV/atom
1.0
-2.530 8.342 6.730
-1.373 -9.260 -5.801
2.006 -3.446 5.025
Ba Y
4 2
Direct
0.625 0.375 0.750
0.935 0.065 0.750
0.065 0.935 0.250
0.375 0.625 0.250
0.274 0.726 0.750
0.726 0.274 0.250

---

8.
HfMo2Ru, relaxed, DFT PBE; energy relative to the elements = 0.213 eV/f.u.; E_tot = -40.68 eV per cell; space-group type = No. 225; density of states at the Fermi level = 1.004 states/eV/atom; size of the total moment = 0.0 μB/f.u.; E above lowest polymorph = 0.000 eV/atom
1.0
-4.073 0.720 1.826
-3.455 1.286 -2.617
-3.392 -2.869 -0.837
Ru Mo Hf
1 2 1
Direct
0.000 0.000 0.000
0.250 0.250 0.250
0.750 0.750 0.750
0.500 0.500 0.500

---

9.
Pm2PuPt, relaxed, DFT PBE; energy relative to the elements = -1.702 eV/f.u.; E_tot = -31.58 eV per cell; space-group type = No. 123; density of states at the Fermi level = 1.651 states/eV/atom; size of the total moment = 7.1 μB/f.u.; E above lowest polymorph = 0.000 eV/atom
1.0
-1.295 -0.028 3.379
0.441 -3.589 0.140
7.782 1.072 2.992
Pm Pt Pu
2 1 1
Direct
0.000 0.000 0.797
0.000 0.000 0.203
0.500 0.500 0.000
0.500 0.500 0.500

---

10.
NaBi2Au2, relaxed, DFT PBE; energy relative to the elements = -0.567 eV/f.u.; E_tot = -16.20 eV per cell; space-group type = No. 139; density of states at the Fermi level = 0.337 states/eV/atom; size of the total moment = 0.0 μB/f.u.; E above lowest polymorph = 0.066 eV/atom
1.0
4.833 0.000 0.000
0.000 4.833 0.000
2.416 2.416 6.142
Na Au Bi
1 2 2
Direct
0.000 0.000 0.000
0.391 0.391 0.218
0.609 0.609 0.782
0.750 0.250 0.500
0.250 0.750 0.500

---

11.
Rb2HoTe2S6, relaxed, DFT PBE; E_tot = -45.62 eV per cell; space-group type = No. 12; density of states at the Fermi level = 0.206 states/eV/atom; size of the total moment = 0.0 μB/f.u.; E_form (uncorrected) = -0.733 eV/atom
1.0
7.527 0.000 0.000
-3.763 5.498 0.027
0.000 -3.029 8.392
Rb Ho Te S
2 1 2 6
Direct
0.695 0.389 0.121
0.305 0.611 0.879
0.500 0.000 0.500
0.917 0.835 0.751
0.083 0.165 0.249
0.751 0.502 0.506
0.240 0.917 0.240
0.323 0.083 0.760
0.760 0.083 0.760
0.677 0.917 0.240
0.249 0.498 0.494

---

12.
CaMg2Pt, relaxed, DFT PBE; energy relative to the elements = -0.983 eV/f.u.; E_tot = -24.43 eV per cell; space-group type = No. 122; density of states at the Fermi level = 0.437 states/eV/atom; size of the total moment = 0.0 μB/f.u.
1.0
4.220 0.000 0.000
0.000 4.220 0.000
2.110 2.110 10.394
Ca Mg Pt
2 4 2
Direct
0.500 0.500 0.000
0.250 0.750 0.500
0.660 0.125 0.250
0.090 0.625 0.250
0.375 0.340 0.750
0.875 0.910 0.750
0.000 0.000 0.000
0.750 0.250 0.500

---

What did the eleventh record say?
Rb2HoTe2S6, relaxed, DFT PBE; E_tot = -45.62 eV per cell; space-group type = No. 12; density of states at the Fermi level = 0.206 states/eV/atom; size of the total moment = 0.0 μB/f.u.; E_form (uncorrected) = -0.733 eV/atom
1.0
7.527 0.000 0.000
-3.763 5.498 0.027
0.000 -3.029 8.392
Rb Ho Te S
2 1 2 6
Direct
0.695 0.389 0.121
0.305 0.611 0.879
0.500 0.000 0.500
0.917 0.835 0.751
0.083 0.165 0.249
0.751 0.502 0.506
0.240 0.917 0.240
0.323 0.083 0.760
0.760 0.083 0.760
0.677 0.917 0.240
0.249 0.498 0.494

---

Which formula does entry 12 have?
CaMg2Pt

---

What is the density of states at the Fermi level in the eleventh record?
0.206 states/eV/atom